{"formula": "AlCrGaPd2", "functional": "PBE", "state": "relaxed", "spacegroup": "P4/mmm", "n_ef_per_ev_cell": 5.34, "formation_enthalpy_0k_mev_per_atom": 907, "lattice": [[-1.692, 3.663, 2.178], [-3.140, 0.494, -3.271], [-2.863, -2.713, 2.338]], "species": ["Al", "Ga", "Cr", "Pd", "Pd"], "fractional_positions": [[0.000, 0.500, 0.000], [0.000, 0.000, 0.000], [0.500, 0.500, 0.500], [0.000, 0.000, 0.500], [0.500, 0.000, 0.000]]}

***

{"formula": "AlCrGaPd", "functional": "PBE", "state": "relaxed", "spacegroup": "F-43m", "n_ef_per_ev_cell": 2.91, "formation_enthalpy_0k_mev_per_atom": -292, "lattice": [[-0.834, 2.801, 3.242], [1.169, -0.983, 4.088], [3.274, 2.161, 1.913]], "species": ["Cr", "Al", "Pd", "Ga"], "fractional_positions": [[0.750, 0.750, 0.750], [0.000, 0.000, 0.000], [0.250, 0.250, 0.250], [0.500, 0.500, 0.500]]}

***

{"formula": "AlCrGaRh", "functional": "PBE", "state": "relaxed", "spacegroup": "F-43m", "n_ef_per_ev_cell": 1.83, "formation_enthalpy_0k_mev_per_atom": -437, "lattice": [[4.293, 0.000, 0.000], [2.146, 3.718, 0.000], [2.146, 1.239, 3.505]], "species": ["Al", "Cr", "Rh", "Ga"], "fractional_positions": [[0.750, 0.750, 0.750], [0.000, 0.000, 0.000], [0.500, 0.500, 0.500], [0.250, 0.250, 0.250]]}

***

{"formula": "Al2CrGaS", "functional": "PBE", "state": "relaxed", "spacegroup": "P4/mmm", "n_ef_per_ev_cell": 2.70, "raw_formation_energy_ev_per_fu": 3.16, "e_above_lowest_polymorph_mev_per_atom": 0, "lattice": [[-4.114, 0.341, 2.592], [-1.419, -4.253, -1.694], [2.180, -2.221, 3.751]], "species": ["S", "Al", "Al", "Cr", "Ga"], "fractional_positions": [[0.500, 0.500, 0.500], [0.500, 0.000, 0.000], [0.000, 0.000, 0.500], [0.000, 0.000, 0.000], [0.000, 0.500, 0.000]]}

***

{"formula": "AlCrGa2S6", "functional": "PBE", "state": "relaxed", "spacegroup": "C2/c", "raw_formation_energy_ev_per_fu": -7.33, "lattice": [[-1.223, -1.866, 5.817], [3.145, -7.259, -0.524], [6.935, 2.041, 3.257]], "species": ["S", "S", "S", "S", "S", "S", "S", "S", "S", "S", "S", "S", "Al", "Al", "Ga", "Ga", "Ga", "Ga", "Cr", "Cr"], "fractional_positions": [[0.621, 0.805, 0.977], [0.101, 0.647, 0.113], [0.379, 0.195, 0.023], [0.868, 0.719, 0.538], [0.121, 0.977, 0.805], [0.601, 0.113, 0.647], [0.399, 0.887, 0.353], [0.368, 0.538, 0.719], [0.132, 0.281, 0.462], [0.879, 0.023, 0.195], [0.899, 0.353, 0.887], [0.632, 0.462, 0.281], [0.250, 0.259, 0.741], [0.750, 0.741, 0.259], [0.799, 0.223, 0.411], [0.701, 0.589, 0.777], [0.299, 0.411, 0.223], [0.201, 0.777, 0.589], [0.750, 0.089, 0.911], [0.250, 0.911, 0.089]]}

***

{"formula": "Al2CrGaS", "functional": "PBE", "state": "relaxed", "spacegroup": "P4/mmm", "n_ef_per_ev_cell": 2.53, "raw_formation_energy_ev_per_fu": 3.36, "e_above_lowest_polymorph_mev_per_atom": 40, "lattice": [[4.704, 0.000, 0.000], [0.000, 4.937, 0.000], [0.000, 0.000, 4.704]], "species": ["Ga", "Cr", "S", "Al", "Al"], "fractional_positions": [[0.000, 0.000, 0.000], [0.000, 0.500, 0.000], [0.500, 0.500, 0.500], [0.500, 0.000, 0.000], [0.000, 0.000, 0.500]]}

***

{"formula": "AlCr2GaSe", "functional": "PBE", "state": "relaxed", "spacegroup": "P4/mmm", "n_ef_per_ev_cell": 2.64, "raw_formation_energy_ev_per_fu": 3.49, "lattice": [[-0.262, -3.432, -3.258], [3.952, 1.982, -2.406], [2.923, -2.683, 2.591]], "species": ["Se", "Ga", "Al", "Cr", "Cr"], "fractional_positions": [[0.000, 0.000, 0.000], [0.500, 0.500, 0.500], [0.000, 0.500, 0.000], [0.500, 0.000, 0.000], [0.000, 0.000, 0.500]]}

***

{"formula": "Al2CrGaSe6", "functional": "PBE", "state": "relaxed", "spacegroup": "C2/c", "raw_formation_energy_ev_per_fu": -6.03, "lattice": [[6.570, -0.324, -0.336], [1.673, 8.278, 0.363], [1.673, 0.056, 8.285]], "species": ["Se", "Se", "Se", "Se", "Se", "Se", "Se", "Se", "Se", "Se", "Se", "Se", "Cr", "Cr", "Ga", "Ga", "Al", "Al", "Al", "Al"], "fractional_positions": [[0.606, 0.107, 0.644], [0.623, 0.455, 0.279], [0.123, 0.279, 0.455], [0.394, 0.893, 0.356], [0.894, 0.356, 0.893], [0.121, 0.974, 0.808], [0.379, 0.192, 0.026], [0.621, 0.808, 0.974], [0.879, 0.026, 0.192], [0.106, 0.644, 0.107], [0.377, 0.545, 0.721], [0.877, 0.721, 0.545], [0.750, 0.088, 0.912], [0.250, 0.912, 0.088], [0.250, 0.261, 0.739], [0.750, 0.739, 0.261], [0.296, 0.406, 0.222], [0.204, 0.778, 0.594], [0.796, 0.222, 0.406], [0.704, 0.594, 0.778]]}

***

{"formula": "AlCrGa2Se6", "functional": "PBE", "state": "relaxed", "spacegroup": "C2/c", "raw_formation_energy_ev_per_fu": -5.72, "lattice": [[6.571, -0.361, -0.375], [1.615, 8.240, 0.362], [1.615, 0.057, 8.247]], "species": ["Se", "Se", "Se", "Se", "Se", "Se", "Se", "Se", "Se", "Se", "Se", "Se", "Cr", "Cr", "Ga", "Ga", "Ga", "Ga", "Al", "Al"], "fractional_positions": [[0.867, 0.725, 0.537], [0.879, 0.024, 0.194], [0.379, 0.194, 0.024], [0.621, 0.806, 0.976], [0.367, 0.537, 0.725], [0.401, 0.893, 0.353], [0.901, 0.353, 0.893], [0.099, 0.647, 0.107], [0.121, 0.976, 0.806], [0.133, 0.275, 0.463], [0.633, 0.463, 0.275], [0.599, 0.107, 0.647], [0.250, 0.912, 0.088], [0.750, 0.088, 0.912], [0.205, 0.774, 0.586], [0.795, 0.226, 0.414], [0.705, 0.586, 0.774], [0.295, 0.414, 0.226], [0.750, 0.743, 0.257], [0.250, 0.257, 0.743]]}

***

{"formula": "Al2VCrGa", "functional": "PBE", "state": "relaxed", "spacegroup": "P4/mmm", "n_ef_per_ev_cell": 2.21, "formation_enthalpy_0k_mev_per_atom": 673, "lattice": [[-1.095, 2.405, -3.723], [-4.159, -1.937, -0.028], [-1.586, 3.368, 2.643]], "species": ["Al", "Al", "Ga", "V", "Cr"], "fractional_positions": [[0.500, 0.000, 0.000], [0.000, 0.000, 0.500], [0.000, 0.500, 0.000], [0.500, 0.500, 0.500], [0.000, 0.000, 0.000]]}

***

{"formula": "GdLuAlCr", "functional": "PBE", "state": "relaxed", "spacegroup": "F-43m", "n_ef_per_ev_cell": 3.54, "formation_enthalpy_0k_mev_per_atom": -29, "lattice": [[-3.347, -3.590, -1.226], [1.539, -4.181, -2.397], [0.046, -4.437, 2.430]], "species": ["Al", "Gd", "Cr", "Lu"], "fractional_positions": [[0.250, 0.250, 0.250], [0.500, 0.500, 0.500], [0.750, 0.750, 0.750], [0.000, 0.000, 0.000]]}

***

{"formula": "GdTmAlCr", "functional": "PBE", "state": "relaxed", "spacegroup": "F-43m", "n_ef_per_ev_cell": 2.81, "formation_enthalpy_0k_mev_per_atom": -6, "lattice": [[5.087, 0.000, 0.000], [2.544, 4.405, 0.000], [2.544, 1.468, 4.154]], "species": ["Gd", "Cr", "Tm", "Al"], "fractional_positions": [[0.000, 0.000, 0.000], [0.750, 0.750, 0.750], [0.500, 0.500, 0.500], [0.250, 0.250, 0.250]]}

***

{"formula": "GdYAlCr", "functional": "PBE", "state": "relaxed", "spacegroup": "F-43m", "n_ef_per_ev_cell": 3.59, "formation_enthalpy_0k_mev_per_atom": -28, "lattice": [[-1.377, 4.341, -2.350], [-3.799, 2.857, 1.916], [1.040, 4.527, 2.165]], "species": ["Y", "Gd", "Cr", "Al"], "fractional_positions": [[0.250, 0.250, 0.250], [0.750, 0.750, 0.750], [0.500, 0.500, 0.500], [0.000, 0.000, 0.000]]}

***

{"formula": "Al2Cr2Ge", "functional": "PBE", "state": "relaxed", "spacegroup": "P4/mbm", "n_ef_per_ev_cell": 5.40, "e_above_lowest_polymorph_mev_per_atom": 331, "formation_enthalpy_0k_mev_per_atom": 304, "lattice": [[6.492, 0.000, 0.000], [0.000, 6.492, 0.000], [0.000, 0.000, 3.266]], "species": ["Ge", "Ge", "Cr", "Cr", "Cr", "Cr", "Al", "Al", "Al", "Al"], "fractional_positions": [[0.500, 0.500, 0.000], [0.000, 0.000, 0.000], [0.671, 0.829, 0.500], [0.171, 0.671, 0.500], [0.329, 0.171, 0.500], [0.829, 0.329, 0.500], [0.131, 0.369, 0.000], [0.369, 0.869, 0.000], [0.869, 0.631, 0.000], [0.631, 0.131, 0.000]]}

***

{"formula": "Al3CrGe", "functional": "PBE", "state": "relaxed", "spacegroup": "Pm-3m", "n_ef_per_ev_cell": 1.96, "e_above_lowest_polymorph_mev_per_atom": 0, "formation_enthalpy_0k_mev_per_atom": 627, "lattice": [[-2.911, -3.558, -0.729], [2.880, -1.693, -3.241], [2.212, -2.478, 3.260]], "species": ["Al", "Al", "Al", "Ge", "Cr"], "fractional_positions": [[0.500, 0.000, 0.000], [0.000, 0.000, 0.500], [0.000, 0.500, 0.000], [0.500, 0.500, 0.500], [0.000, 0.000, 0.000]]}

***

{"formula": "Al2CrGe", "functional": "PBE", "state": "relaxed", "spacegroup": "R-3m", "n_ef_per_ev_cell": 3.58, "formation_enthalpy_0k_mev_per_atom": 128, "lattice": [[-0.736, 2.559, -1.153], [-2.778, 0.569, -0.615], [-2.239, 4.244, 7.192]], "species": ["Cr", "Al", "Al", "Ge"], "fractional_positions": [[0.000, 0.000, 0.000], [0.256, 0.256, 0.232], [0.744, 0.744, 0.768], [0.500, 0.500, 0.500]]}

***

{"formula": "AlCr2Ge", "functional": "PBE", "state": "relaxed", "spacegroup": "R-3m", "n_ef_per_ev_cell": 3.97, "formation_enthalpy_0k_mev_per_atom": 197, "lattice": [[2.731, 0.000, 0.000], [1.365, 2.365, 0.000], [1.365, 0.788, 8.315]], "species": ["Cr", "Cr", "Al", "Ge"], "fractional_positions": [[0.252, 0.252, 0.244], [0.748, 0.748, 0.756], [0.500, 0.500, 0.500], [0.000, 0.000, 0.000]]}

***

{"formula": "AlCr2Ge", "functional": "PBE", "state": "relaxed", "spacegroup": "I-42d", "n_ef_per_ev_cell": 9.58, "formation_enthalpy_0k_mev_per_atom": 520, "lattice": [[-1.148, 4.974, 4.470], [-6.681, -0.652, -0.990], [-4.028, 0.407, 3.662]], "species": ["Al", "Al", "Ge", "Ge", "Cr", "Cr", "Cr", "Cr"], "fractional_positions": [[0.500, 0.500, 0.000], [0.250, 0.750, 0.500], [0.000, 0.000, 0.000], [0.750, 0.250, 0.500], [0.875, 0.887, 0.750], [0.637, 0.125, 0.250], [0.113, 0.625, 0.250], [0.375, 0.363, 0.750]]}

***

{"formula": "AlCr2Ge", "functional": "PBE", "state": "relaxed", "spacegroup": "P4/mmm", "n_ef_per_ev_cell": 4.06, "formation_enthalpy_0k_mev_per_atom": 82, "lattice": [[-3.286, -1.413, 0.324], [0.700, -0.762, 3.767], [-1.414, 3.510, 0.973]], "species": ["Ge", "Cr", "Cr", "Al"], "fractional_positions": [[0.500, 0.500, 0.500], [0.000, 0.500, 0.000], [0.000, 0.000, 0.500], [0.500, 0.000, 0.000]]}

***

{"formula": "Al3CrGe", "functional": "PBE", "state": "relaxed", "spacegroup": "Pm-3m", "n_ef_per_ev_cell": 2.22, "e_above_lowest_polymorph_mev_per_atom": 301, "formation_enthalpy_0k_mev_per_atom": 928, "lattice": [[-2.893, 3.736, -1.085], [0.979, -0.610, -4.709], [-3.766, -3.029, -0.391]], "species": ["Al", "Al", "Al", "Cr", "Ge"], "fractional_positions": [[0.000, 0.500, 0.000], [0.000, 0.000, 0.500], [0.500, 0.000, 0.000], [0.500, 0.500, 0.500], [0.000, 0.000, 0.000]]}

***

{"formula": "AlCrGe2", "functional": "PBE", "state": "relaxed", "spacegroup": "I-42d", "n_ef_per_ev_cell": 15.73, "formation_enthalpy_0k_mev_per_atom": 499, "lattice": [[7.150, 0.000, 0.000], [0.000, 7.150, 0.000], [3.575, 3.575, 2.631]], "species": ["Ge", "Ge", "Ge", "Ge", "Al", "Al", "Cr", "Cr"], "fractional_positions": [[0.375, 0.347, 0.750], [0.097, 0.625, 0.250], [0.875, 0.903, 0.750], [0.653, 0.125, 0.250], [0.500, 0.500, 0.000], [0.250, 0.750, 0.500], [0.750, 0.250, 0.500], [0.000, 0.000, 0.000]]}

***

{"formula": "Al2CrGe", "functional": "PBE", "state": "relaxed", "spacegroup": "I-42d", "n_ef_per_ev_cell": 8.81, "formation_enthalpy_0k_mev_per_atom": 579, "lattice": [[-3.367, 6.332, 0.999], [-5.876, -3.500, 2.378], [-3.728, 1.519, 4.049]], "species": ["Al", "Al", "Al", "Al", "Ge", "Ge", "Cr", "Cr"], "fractional_positions": [[0.375, 0.385, 0.750], [0.615, 0.125, 0.250], [0.135, 0.625, 0.250], [0.875, 0.865, 0.750], [0.000, 0.000, 0.000], [0.750, 0.250, 0.500], [0.250, 0.750, 0.500], [0.500, 0.500, 0.000]]}

***

{"formula": "AlCrGe2", "functional": "PBE", "state": "relaxed", "spacegroup": "R-3m", "n_ef_per_ev_cell": 1.92, "formation_enthalpy_0k_mev_per_atom": 122, "lattice": [[-1.843, -2.011, -0.882], [0.307, -1.189, -2.590], [4.838, -7.557, 2.459]], "species": ["Ge", "Ge", "Cr", "Al"], "fractional_positions": [[0.096, 0.096, 0.711], [0.904, 0.904, 0.289], [0.500, 0.500, 0.500], [0.000, 0.000, 0.000]]}

***

{"formula": "Al2CrGe", "functional": "PBE", "state": "relaxed", "spacegroup": "P4/mmm", "n_ef_per_ev_cell": 2.71, "formation_enthalpy_0k_mev_per_atom": 67, "lattice": [[3.913, 0.000, 0.000], [0.000, 3.935, 0.000], [0.000, 0.000, 3.935]], "species": ["Ge", "Al", "Al", "Cr"], "fractional_positions": [[0.500, 0.000, 0.000], [0.000, 0.500, 0.000], [0.000, 0.000, 0.500], [0.500, 0.500, 0.500]]}

***

{"formula": "Al2Cr2Ge", "functional": "PBE", "state": "relaxed", "spacegroup": "P4/mbm", "n_ef_per_ev_cell": 5.22, "e_above_lowest_polymorph_mev_per_atom": 0, "formation_enthalpy_0k_mev_per_atom": -26, "lattice": [[-3.441, 4.959, 0.527], [-2.934, -2.532, 4.657], [2.644, 1.567, 2.518]], "species": ["Cr", "Cr", "Cr", "Cr", "Al", "Al", "Al", "Al", "Ge", "Ge"], "fractional_positions": [[0.372, 0.872, 0.000], [0.128, 0.372, 0.000], [0.872, 0.628, 0.000], [0.628, 0.128, 0.000], [0.340, 0.160, 0.500], [0.660, 0.840, 0.500], [0.840, 0.340, 0.500], [0.160, 0.660, 0.500], [0.000, 0.000, 0.000], [0.500, 0.500, 0.000]]}

***

{"formula": "AlCrGe2H", "functional": "PBE", "state": "relaxed", "spacegroup": "P4/mmm", "final_energy_ev_per_atom": -4.71, "n_ef_per_ev_cell": 4.01, "lattice": [[4.270, 0.000, 0.000], [0.000, 3.492, 0.000], [0.000, 0.000, 4.270]], "species": ["Cr", "H", "Ge", "Ge", "Al"], "fractional_positions": [[0.500, 0.500, 0.500], [0.000, 0.000, 0.000], [0.000, 0.000, 0.500], [0.500, 0.000, 0.000], [0.000, 0.500, 0.000]]}